Entry from the Alexandria database: a relaxed structure of Li2Mn3FeO8 (PBE+U).

Cell and atoms, written as CIF:
```
data_Li2Mn3FeO8
_space_group_name_H-M_alt 'R 3 m'
_space_group_IT_number 160
_space_group_name_Hall 'R 3 -2"'
_cell_length_a 5.9440
_cell_length_b 5.9440
_cell_length_c 14.3187
_cell_angle_alpha 90.00
_cell_angle_beta 90.00
_cell_angle_gamma 120.00
loop_
_atom_site_label
_atom_site_type_symbol
_atom_site_fract_x
_atom_site_fract_y
_atom_site_fract_z
Li1 Li 0.0000 0.0000 0.0000
Li2 Li 0.0000 0.0000 0.3829
Mn1 Mn 0.0093 0.5046 0.8859
Fe1 Fe 0.0000 0.0000 0.7688
O1 O 0.0000 0.0000 0.1415
O2 O 0.0000 0.0000 0.6299
O3 O 0.0200 0.5100 0.1436
O4 O 0.1818 0.3635 0.9559
```

M_tot (Bohr magnetons per cell): 45.00
E (eV per atom): -6.687
Density of states at the Fermi level (states/eV per cell): 9.5